1.
## Pr2ErI (PBE-GGA)

Data for an optimized crystal structure of Pr2ErI.

```
Pr2ErI
1.0
-0.546 0.161 -3.678
3.510 -1.097 -0.569
-2.902 -9.293 0.023
I Er Pr
1 1 2
Direct
0.500 0.500 0.500
0.500 0.500 0.000
0.000 0.000 0.257
0.000 0.000 0.743
```

formation energy without anion corrections = -350 meV per atom
density = 7.1 g/cm³
D(E_F) = 0.957 states/eV/atom
total magnetization = 0.0 μB per formula unit
energy = -17.07 eV/cell
volume = 135 Å³ per cell



2.
## PrErI (PBE-GGA)

Data for an optimized crystal structure of PrErI.

```
PrErI
1.0
3.865 0.000 0.000
0.000 5.446 0.000
0.000 -2.723 4.716
I Er Pr
1 1 1
Direct
0.250 0.333 0.667
0.133 0.000 0.000
0.616 0.667 0.333
```

formation energy without anion corrections = -185 meV per atom
density = 7.3 g/cm³
D(E_F) = 0.624 states/eV/atom
total magnetization = 0.0 μB per formula unit
energy = -11.45 eV/cell
volume = 99 Å³ per cell



3.
## PrErI2 (PBE-GGA)

Data for an optimized crystal structure of PrErI2.

```
PrErI2
1.0
-3.604 1.523 -0.061
-2.397 -0.524 3.048
1.751 9.389 5.503
I Er Pr
2 1 1
Direct
0.906 0.906 0.283
0.094 0.094 0.717
0.000 0.000 0.000
0.500 0.500 0.500
```

formation energy without anion corrections = -709 meV per atom
density = 6.5 g/cm³
D(E_F) = 0.513 states/eV/atom
total magnetization = 0.0 μB per formula unit
energy = -15.28 eV/cell
volume = 143 Å³ per cell



4.
## PrErI4 (PBE-GGA)

Data for an optimized crystal structure of PrErI4.

```
PrErI4
1.0
4.173 0.000 0.000
0.000 8.005 -0.057
0.000 -0.037 7.316
Pr I Er
1 4 1
Direct
0.500 0.000 0.500
0.500 0.243 0.849
0.000 0.254 0.320
0.500 0.757 0.151
0.000 0.746 0.680
0.000 0.000 0.000
```

formation energy without anion corrections = -1229 meV per atom
density = 5.5 g/cm³
D(E_F) = 0.585 states/eV/atom
total magnetization = 0.0 μB per formula unit
energy = -22.92 eV/cell
volume = 244 Å³ per cell



5.
## PrErPtI (PBE-GGA)

Data for an optimized crystal structure of PrErPtI.

```
PrErPtI
1.0
-1.500 3.111 -2.384
1.202 -3.608 -1.772
-6.848 -3.786 3.064
I Pt Pr Er
1 1 1 1
Direct
0.963 0.379 0.357
0.312 0.554 0.882
0.511 0.153 0.680
0.092 0.944 0.051
```

formation energy without anion corrections = -1102 meV per atom
density = 8.5 g/cm³
D(E_F) = 0.944 states/eV/atom
total magnetization = 0.0 μB per formula unit
energy = -21.34 eV/cell
volume = 123 Å³ per cell



6.
## Er4PtI5 (PBE-GGA)

Data for an optimized crystal structure of Er4PtI5.

```
Er4PtI5
1.0
-0.970 2.639 -3.031
3.853 -5.388 -5.923
-8.714 -4.582 1.617
I Er Pt
5 4 1
Direct
0.179 0.835 0.357
0.831 0.660 0.662
0.169 0.340 0.338
0.821 0.165 0.643
0.500 0.500 0.000
0.999 0.796 0.998
0.001 0.204 0.002
0.642 0.073 0.285
0.358 0.927 0.715
0.500 0.000 0.000
```

formation energy without anion corrections = -1208 meV per atom
density = 7.1 g/cm³
D(E_F) = 0.317 states/eV/atom
total magnetization = 0.0 μB per formula unit
energy = -44.12 eV/cell
volume = 350 Å³ per cell



7.
## Er7PtI12 (PBE-GGA)

Data for an optimized crystal structure of Er7PtI12.

```
Er7PtI12
1.0
-8.831 -3.980 0.780
6.467 -6.717 2.737
0.482 7.282 6.417
I Er Pt
12 7 1
Direct
0.926 0.322 0.777
0.469 0.160 0.391
0.609 0.531 0.840
0.160 0.391 0.469
0.391 0.469 0.160
0.074 0.678 0.223
0.840 0.609 0.531
0.777 0.926 0.322
0.223 0.074 0.678
0.531 0.840 0.609
0.322 0.777 0.926
0.678 0.223 0.074
0.031 0.302 0.101
0.969 0.698 0.899
0.698 0.899 0.969
0.899 0.969 0.698
0.101 0.031 0.302
0.500 0.500 0.500
0.302 0.101 0.031
0.000 0.000 0.000
```

formation energy without anion corrections = -1250 meV per atom
density = 6.3 g/cm³
D(E_F) = 0.236 states/eV/atom
total magnetization = 0.6 μB per formula unit
energy = -81.58 eV/cell
volume = 756 Å³ per cell



8.
## ErPuI (PBE-GGA)

Data for an optimized crystal structure of ErPuI.

```
ErPuI
1.0
-2.697 -2.395 2.072
0.656 -3.125 -2.756
14.264 -6.626 10.908
I Pu Er
4 4 4
Direct
0.250 0.249 0.617
0.750 0.751 0.383
0.250 0.251 0.117
0.750 0.749 0.883
0.750 0.247 0.750
0.750 0.253 0.250
0.250 0.753 0.250
0.250 0.747 0.750
0.250 0.251 0.444
0.750 0.751 0.056
0.750 0.749 0.556
0.250 0.249 0.944
```

formation energy without anion corrections = -193 meV per atom
density = 10.6 g/cm³
D(E_F) = 1.479 states/eV/atom
total magnetization = 5.9 μB per formula unit
energy = -84.09 eV/cell
volume = 336 Å³ per cell